Record 1
Here is a crystal of ZrNbTl2Au relaxed with PBEsol from the Alexandria database. Energies are from SCAN.

Results
N(E_F) in states/eV/atom: 0.404
Total moment in μB per atom: 0.0000
Formation energy from the elements in meV per atom: 866

a = 4.9843 Å, b = 5.2031 Å, c = 5.2031 Å
α = 90.00°, β = 90.00°, γ = 90.00°
Fractional positions:
Tl: 0.0000 0.0000 0.5000
Tl: 0.0000 0.5000 0.0000
Nb: 0.0000 0.0000 0.0000
Zr: 0.5000 0.5000 0.5000
Au: 0.5000 0.0000 0.0000

***

Record 2
Here is a crystal of NbV2Au relaxed with PBEsol from the Alexandria database. Energies are from SCAN.

Results
N(E_F) in states/eV/atom: 1.444
Total moment in μB per atom: 0.0003
Formation energy from the elements in meV per atom: -51

a = 4.3935 Å, b = 4.3935 Å, c = 4.3935 Å
α = 60.00°, β = 60.00°, γ = 60.00°
Fractional positions:
V: 0.7500 0.7500 0.7500
V: 0.2500 0.2500 0.2500
Nb: 0.0000 0.0000 0.0000
Au: 0.5000 0.5000 0.5000

***

Record 3
Here is a crystal of Nb3WAu relaxed with PBEsol from the Alexandria database. Energies are from SCAN.

Results
N(E_F) in states/eV/atom: 1.081
Total moment in μB per atom: 0.0000
Formation energy from the elements in meV per atom: 1287

a = 4.7912 Å, b = 4.7912 Å, c = 4.7912 Å
α = 90.00°, β = 90.00°, γ = 90.00°
Fractional positions:
W: 0.0000 0.0000 0.0000
Au: 0.5000 0.5000 0.5000
Nb: 0.5000 0.0000 0.0000
Nb: 0.0000 0.0000 0.5000
Nb: 0.0000 0.5000 0.0000

***

Record 4
Here is a crystal of NbWAu2 relaxed with PBEsol from the Alexandria database. Energies are from SCAN.

Results
N(E_F) in states/eV/atom: 1.044
Total moment in μB per atom: 0.0000
Formation energy from the elements in meV per atom: 417

a = 4.5701 Å, b = 4.5701 Å, c = 4.5701 Å
α = 60.00°, β = 60.00°, γ = 60.00°
Fractional positions:
W: 0.5000 0.5000 0.5000
Au: 0.2500 0.2500 0.2500
Au: 0.7500 0.7500 0.7500
Nb: 0.0000 0.0000 0.0000

***

Record 5
Here is a crystal of ZrNb2WAu relaxed with PBEsol from the Alexandria database. Energies are from SCAN.

Results
N(E_F) in states/eV/atom: 1.155
Total moment in μB per atom: 0.0000
Formation energy from the elements in meV per atom: 1520

a = 4.8233 Å, b = 4.8786 Å, c = 4.8786 Å
α = 90.00°, β = 90.00°, γ = 90.00°
Fractional positions:
Zr: 0.5000 0.5000 0.5000
Au: 0.0000 0.0000 0.0000
Nb: 0.0000 0.5000 0.0000
Nb: 0.0000 0.0000 0.5000
W: 0.5000 0.0000 0.0000

***

Record 6
Here is a crystal of NbZn3Au relaxed with PBEsol from the Alexandria database. Energies are from SCAN.

Results
N(E_F) in states/eV/atom: 0.865
Total moment in μB per atom: 0.0002
Formation energy from the elements in meV per atom: 1307

a = 4.8933 Å, b = 4.8933 Å, c = 4.8933 Å
α = 90.00°, β = 90.00°, γ = 90.00°
Fractional positions:
Nb: 0.0000 0.0000 0.0000
Zn: 0.5000 0.0000 0.0000
Zn: 0.0000 0.5000 0.0000
Zn: 0.0000 0.0000 0.5000
Au: 0.5000 0.5000 0.5000

***

Record 7
Here is a crystal of NdAu6 relaxed with PBEsol from the Alexandria database. Energies are from SCAN.

Results
N(E_F) in states/eV/atom: 0.365
Total moment in μB per atom: 0.0000
Formation energy from the elements in meV per atom: -519

a = 5.4694 Å, b = 5.4694 Å, c = 9.0395 Å
α = 82.85°, β = 82.85°, γ = 89.66°
Fractional positions:
Au: 0.0460 0.1545 0.3625
Au: 0.2167 0.3858 0.5810
Au: 0.6142 0.7833 0.9190
Au: 0.1545 0.0460 0.8625
Au: 0.8341 0.4552 0.1263
Au: 0.4552 0.8341 0.6263
Au: 0.5448 0.1659 0.3737
Au: 0.3858 0.2167 0.0810
Au: 0.7833 0.6142 0.4190
Au: 0.8455 0.9540 0.1375
Au: 0.9540 0.8455 0.6375
Au: 0.1659 0.5448 0.8737
Nd: 0.6822 0.3178 0.7500
Nd: 0.3178 0.6822 0.2500

***

Record 8
Here is a crystal of Nd3Au4 relaxed with PBEsol from the Alexandria database. Energies are from SCAN.

Results
N(E_F) in states/eV/atom: 0.535
Total moment in μB per atom: 0.0000
Formation energy from the elements in meV per atom: -1037

a = 6.0489 Å, b = 8.1663 Å, c = 8.1663 Å
α = 114.11°, β = 104.29°, γ = 104.29°
Fractional positions:
Au: 0.0000 0.0000 0.0000
Au: 0.4393 0.5067 0.6683
Au: 0.5607 0.4933 0.3317
Au: 0.7710 0.3317 0.8384
Au: 0.5000 0.0000 0.0000
Au: 0.9326 0.1616 0.4933
Au: 0.0674 0.8384 0.5067
Au: 0.2290 0.6683 0.1616
Nd: 0.0172 0.6175 0.7430
Nd: 0.2743 0.2570 0.8745
Nd: 0.7257 0.7430 0.1255
Nd: 0.6002 0.8745 0.6175
Nd: 0.9828 0.3825 0.2570
Nd: 0.3998 0.1255 0.3825

***

Record 9
Here is a crystal of NdAu relaxed with PBEsol from the Alexandria database. Energies are from SCAN.

Results
N(E_F) in states/eV/atom: 0.557
Total moment in μB per atom: 0.0000
Formation energy from the elements in meV per atom: -997

a = 3.6501 Å, b = 3.6501 Å, c = 3.6501 Å
α = 90.00°, β = 90.00°, γ = 90.00°
Fractional positions:
Nd: 0.0000 0.0000 0.0000
Au: 0.5000 0.5000 0.5000

***

Record 10
Here is a crystal of NdAu relaxed with PBEsol from the Alexandria database. Energies are from SCAN.

Results
N(E_F) in states/eV/atom: 0.550
Total moment in μB per atom: 0.0000
Formation energy from the elements in meV per atom: -1058

a = 4.7381 Å, b = 5.7338 Å, c = 7.3759 Å
α = 90.00°, β = 90.00°, γ = 90.00°
Fractional positions:
Nd: 0.7500 0.1433 0.3148
Nd: 0.2500 0.8567 0.6852
Nd: 0.7500 0.3567 0.8148
Nd: 0.2500 0.6433 0.1852
Au: 0.2500 0.1481 0.0392
Au: 0.7500 0.8519 0.9608
Au: 0.2500 0.3519 0.5392
Au: 0.7500 0.6481 0.4608

***

Record 11
Here is a crystal of NdSb2Au relaxed with PBEsol from the Alexandria database. Energies are from SCAN.

Results
N(E_F) in states/eV/atom: 0.337
Total moment in μB per atom: 0.0000
Raw formation energy in eV/atom: -0.814

a = 4.3882 Å, b = 4.3882 Å, c = 10.1316 Å
α = 90.00°, β = 90.00°, γ = 90.00°
Fractional positions:
Nd: 0.0000 0.5000 0.2531
Nd: 0.5000 0.0000 0.7469
Au: 0.5000 0.5000 0.0000
Au: 0.0000 0.0000 0.0000
Sb: 0.0000 0.0000 0.5000
Sb: 0.5000 0.0000 0.1781
Sb: 0.5000 0.5000 0.5000
Sb: 0.0000 0.5000 0.8219

***

Record 12
Here is a crystal of NdSnAu relaxed with PBEsol from the Alexandria database. Energies are from SCAN.

Results
N(E_F) in states/eV/atom: 0.083
Total moment in μB per atom: 0.0000
Formation energy from the elements in meV per atom: -1055

a = 4.7084 Å, b = 4.7084 Å, c = 7.5127 Å
α = 90.00°, β = 90.00°, γ = 120.00°
Fractional positions:
Sn: 0.6667 0.3333 0.5308
Sn: 0.3333 0.6667 0.0308
Au: 0.6667 0.3333 0.9398
Au: 0.3333 0.6667 0.4398
Nd: 0.0000 0.0000 0.2554
Nd: 0.0000 0.0000 0.7554

***

Record 13
Here is a crystal of NdSnAu relaxed with PBEsol from the Alexandria database. Energies are from SCAN.

Results
N(E_F) in states/eV/atom: 0.284
Total moment in μB per atom: 0.0000
Formation energy from the elements in meV per atom: -983

a = 4.6691 Å, b = 4.6691 Å, c = 7.7410 Å
α = 90.00°, β = 90.00°, γ = 120.00°
Fractional positions:
Nd: 0.0000 0.0000 0.0000
Nd: 0.0000 0.0000 0.5000
Sn: 0.6667 0.3333 0.2500
Sn: 0.3333 0.6667 0.7500
Au: 0.3333 0.6667 0.2500
Au: 0.6667 0.3333 0.7500

***

Record 14
Here is a crystal of NdTlAu2 relaxed with PBEsol from the Alexandria database. Energies are from SCAN.

Results
N(E_F) in states/eV/atom: 0.440
Total moment in μB per atom: 0.0000
Formation energy from the elements in meV per atom: -702

a = 5.0028 Å, b = 5.0028 Å, c = 5.0028 Å
α = 60.00°, β = 60.00°, γ = 60.00°
Fractional positions:
Au: 0.7500 0.7500 0.7500
Au: 0.2500 0.2500 0.2500
Nd: 0.5000 0.5000 0.5000
Tl: 0.0000 0.0000 0.0000

***

Record 15
Here is a crystal of NiAu7 relaxed with PBEsol from the Alexandria database. Energies are from SCAN.

Results
N(E_F) in states/eV/atom: 0.378
Total moment in μB per atom: 0.0000
Formation energy from the elements in meV per atom: 67

a = 5.6834 Å, b = 5.6834 Å, c = 5.6834 Å
α = 60.00°, β = 60.00°, γ = 60.00°
Fractional positions:
Au: 0.0000 0.5000 0.5000
Au: 0.0000 0.0000 0.5000
Au: 0.0000 0.5000 0.0000
Au: 0.5000 0.0000 0.5000
Au: 0.5000 0.5000 0.0000
Au: 0.5000 0.0000 0.0000
Au: 0.5000 0.5000 0.5000
Ni: 0.0000 0.0000 0.0000

***

Record 16
Here is a crystal of NiAu5 relaxed with PBEsol from the Alexandria database. Energies are from SCAN.

Results
Energy above the lowest structure with this stoichiometry in eV per atom: 0.000
N(E_F) in states/eV/atom: 0.429
Total moment in μB per atom: 0.0001
Formation energy from the elements in meV per atom: 55

a = 2.9016 Å, b = 4.9869 Å, c = 7.4872 Å
α = 111.81°, β = 90.00°, γ = 106.91°
Fractional positions:
Au: 0.3485 0.6970 0.7330
Au: 0.0402 0.0805 0.0444
Au: 0.6943 0.3886 0.3887
Au: 0.3619 0.7237 0.2052
Au: 0.0271 0.0541 0.5728
Ni: 0.6947 0.3894 0.8891

***

Record 17
Here is a crystal of NiAu relaxed with PBEsol from the Alexandria database. Energies are from SCAN.

Results
N(E_F) in states/eV/atom: 0.767
Total moment in μB per atom: 0.4175
Formation energy from the elements in meV per atom: 300

a = 3.8983 Å, b = 3.8983 Å, c = 4.6600 Å
α = 90.00°, β = 90.00°, γ = 120.00°
Each line ends with the local moment (μB).
Fractional positions:
Ni: 0.0000 0.0000 0.5000  0.87
Ni: 0.0000 0.0000 0.0000  0.87
Au: 0.3333 0.6667 0.2500  0.01
Au: 0.6667 0.3333 0.7500  0.01

***

Record 18
Here is a crystal of Ni7Au relaxed with PBEsol from the Alexandria database. Energies are from SCAN.

Results
N(E_F) in states/eV/atom: 0.857
Total moment in μB per atom: 0.6886
Formation energy from the elements in meV per atom: 56

a = 5.0346 Å, b = 5.0346 Å, c = 5.0346 Å
α = 60.00°, β = 60.00°, γ = 60.00°
Each line ends with the local moment (μB).
Fractional positions:
Ni: 0.0000 0.5000 0.0000  0.84
Ni: 0.0000 0.5000 0.5000  0.84
Ni: 0.5000 0.5000 0.0000  0.84
Ni: 0.5000 0.0000 0.0000  0.84
Ni: 0.5000 0.5000 0.5000  0.86
Ni: 0.0000 0.0000 0.5000  0.84
Ni: 0.5000 0.0000 0.5000  0.84
Au: 0.0000 0.0000 0.0000  0.09

***

Record 19
Here is a crystal of NiAu5 relaxed with PBEsol from the Alexandria database. Energies are from SCAN.

Results
Energy above the lowest structure with this stoichiometry in eV per atom: 0.012
N(E_F) in states/eV/atom: 0.464
Total moment in μB per atom: 0.1523
Formation energy from the elements in meV per atom: 67

a = 2.8525 Å, b = 4.6680 Å, c = 7.3497 Å
α = 90.00°, β = 101.19°, γ = 90.00°
Each line ends with the local moment (μB).
Fractional positions:
Au: 0.7706 0.5000 0.5412  0.00
Au: 0.3328 0.0000 0.6657  -0.01
Au: 0.4531 0.5000 0.9062  0.00
Au: 0.0015 0.0000 0.0029  -0.01
Au: 0.6629 0.0000 0.3257  -0.01
Ni: 0.1125 0.5000 0.2250  1.00

***

Record 20
Here is a crystal of NiAu relaxed with PBEsol from the Alexandria database. Energies are from SCAN.

Results
N(E_F) in states/eV/atom: 0.654
Total moment in μB per atom: 0.3513
Formation energy from the elements in meV per atom: 70

a = 2.8377 Å, b = 2.8377 Å, c = 6.8003 Å
α = 90.00°, β = 90.00°, γ = 90.00°
Each line ends with the local moment (μB).
Fractional positions:
Au: 0.0000 0.5000 0.8453  -0.01
Au: 0.5000 0.0000 0.1547  -0.01
Ni: 0.5000 0.0000 0.5933  0.77
Ni: 0.0000 0.5000 0.4067  0.77